A plane-wave DFT calculation with PBE was carried out for an optimized crystal structure of Ge2TeAu2.

Its crystal system is tetragonal. The value obtained for the uncorrected formation energy is 0.59 eV per formula unit. For the energy above the most stable polymorph in this dataset, the calculation gives 51 meV per atom. The density of states at the Fermi level is 1.99 states/eV/f.u.

The structure belongs to space group I4/mmm (No. 139); the cell edges are 4.317, 4.317 and 11.874 Å and the angles 90.00°, 90.00° and 90.00°. Symmetry generates all atoms from Ge at (0.000, 0.500, 0.250), Te at (0.000, 0.000, 0.000) and Au at (0.000, 0.000, 0.384).

---

A plane-wave DFT calculation with PBE was carried out for an optimized crystal structure of GeTeAu2.

Its crystal system is tetragonal. The value obtained for the uncorrected formation energy is 0.45 eV per formula unit. For the energy above the most stable polymorph in this dataset, the calculation gives 81 meV per atom. The density of states at the Fermi level is 2.27 states/eV/f.u.

The structure belongs to space group I-42d (No. 122); the cell edges are 6.796, 6.796 and 9.001 Å and the angles 90.00°, 90.00° and 90.00°. Symmetry generates all atoms from Ge at (0.000, 0.000, 0.000), Te at (0.000, 0.000, 0.500) and Au at (0.221, 0.250, 0.125).

---

A plane-wave DFT calculation with PBE was carried out for an optimized crystal structure of GeTe2Au2.

Its crystal system is tetragonal. The value obtained for the uncorrected formation energy is 1.04 eV per formula unit. For the energy above the most stable polymorph in this dataset, the calculation gives 235 meV per atom. The density of states at the Fermi level is 2.44 states/eV/f.u.

The structure belongs to space group P4/mbm (No. 127); the cell edges are 8.003, 8.003 and 3.815 Å and the angles 90.00°, 90.00° and 90.00°. Symmetry generates all atoms from Ge at (0.000, 0.000, 0.000), Te at (0.188, 0.312, 0.000) and Au at (0.124, 0.624, 0.500).

---

A plane-wave DFT calculation with PBE was carried out for an optimized crystal structure of GeTe2Au2.

Its crystal system is triclinic. The value obtained for the uncorrected formation energy is 0.34 eV per formula unit. For the energy above the most stable polymorph in this dataset, the calculation gives 96 meV per atom. The density of states at the Fermi level is 1.91 states/eV/f.u.

The structure belongs to space group P-1 (No. 2); the cell edges are 6.347, 6.350 and 7.154 Å and the angles 99.41°, 99.42° and 112.51°. Symmetry generates all atoms from Ge at (0.124, 0.375, 0.250), Te at (0.178, 0.826, 0.487), Te at (0.327, 0.678, 0.987), Au at (0.251, 0.248, 0.750) and Au at (0.366, 0.131, 0.249).

---

A plane-wave DFT calculation with PBE was carried out for an optimized crystal structure of GeTeAu4.

Its crystal system is monoclinic. The value obtained for the uncorrected formation energy is 0.47 eV per formula unit. For the energy above the most stable polymorph in this dataset, the calculation gives 0 meV per atom. The density of states at the Fermi level is 2.32 states/eV/f.u.

The structure belongs to space group C2/m (No. 12); the cell edges are 11.405, 7.227 and 6.324 Å and the angles 90.00°, 97.35° and 90.00°. Symmetry generates all atoms from Ge at (0.061, 0.000, 0.302), Te at (0.185, 0.500, 0.207), Au at (0.000, 0.304, 0.500), Au at (0.114, 0.205, 0.923) and Au at (0.214, 0.500, 0.666).

---

A plane-wave DFT calculation with PBE was carried out for an optimized crystal structure of GeTe2Au2.

Its crystal system is tetragonal. The value obtained for the uncorrected formation energy is 0.94 eV per formula unit. For the energy above the most stable polymorph in this dataset, the calculation gives 215 meV per atom. The density of states at the Fermi level is 3.63 states/eV/f.u.

The structure belongs to space group P4/mbm (No. 127); the cell edges are 7.709, 7.709 and 3.954 Å and the angles 90.00°, 90.00° and 90.00°. Symmetry generates all atoms from Ge at (0.000, 0.000, 0.000), Te at (0.181, 0.319, 0.500) and Au at (0.129, 0.629, 0.000).

---

A plane-wave DFT calculation with PBE was carried out for an optimized crystal structure of Ge2TeAu.

Its crystal system is trigonal. The value obtained for the uncorrected formation energy is 0.67 eV per formula unit. The density of states at the Fermi level is 2.87 states/eV/f.u.

The structure belongs to space group R-3m (No. 166, hexagonal axes); the cell edges are 4.2517, 4.2517 and 21.7498 Å and the angles 90.00°, 90.00° and 120.00°. Symmetry generates all atoms from Ge at (0.0000, 0.0000, 0.1226), Te at (0.0000, 0.0000, 0.0000) and Au at (0.0000, 0.0000, 0.5000).

---

A plane-wave DFT calculation with PBE was carried out for an optimized crystal structure of Ge2Te4Au.

Its crystal system is tetragonal. The value obtained for the uncorrected formation energy is 0.00 eV per formula unit. The density of states at the Fermi level is 3.19 states/eV/f.u.

The structure belongs to space group P-42m (No. 111); the cell edges are 6.139, 6.139 and 6.065 Å and the angles 90.00°, 90.00° and 90.00°. Symmetry generates all atoms from Ge at (0.000, 0.500, 0.000), Te at (0.228, 0.228, 0.727) and Au at (0.500, 0.500, 0.500).

---

A plane-wave DFT calculation with PBE was carried out for an optimized crystal structure of Ge2TeAu.

Its crystal system is tetragonal. The value obtained for the uncorrected formation energy is 0.30 eV per formula unit. The density of states at the Fermi level is 1.65 states/eV/f.u.

The structure belongs to space group I-42d (No. 122); the cell edges are 6.203, 6.203 and 12.132 Å and the angles 90.00°, 90.00° and 90.00°. Symmetry generates all atoms from Ge at (0.209, 0.250, 0.125), Te at (0.000, 0.000, 0.500) and Au at (0.000, 0.000, 0.000).

---

A plane-wave DFT calculation with PBE was carried out for an optimized crystal structure of GeTe2Au.

Its crystal system is trigonal. The value obtained for the uncorrected formation energy is 0.30 eV per formula unit. The density of states at the Fermi level is 2.18 states/eV/f.u.

The structure belongs to space group R-3m (No. 166, hexagonal axes); the cell edges are 4.2708, 4.2708 and 24.7149 Å and the angles 90.00°, 90.00° and 120.00°. Symmetry generates all atoms from Ge at (0.0000, 0.0000, 0.0000), Te at (0.0000, 0.0000, 0.3955) and Au at (0.0000, 0.0000, 0.5000).

---

A plane-wave DFT calculation with PBE was carried out for an optimized crystal structure of GeTe3Au2.

Its crystal system is orthorhombic. The value obtained for the uncorrected formation energy is -0.19 eV per formula unit. For the energy above the most stable polymorph in this dataset, the calculation gives 20 meV per atom. The density of states at the Fermi level is 1.00 states/eV/f.u.

The structure belongs to space group Cmc2_1 (No. 36); the cell edges are 13.350, 7.713 and 7.343 Å and the angles 90.00°, 90.00° and 90.00°. Symmetry generates all atoms from Ge at (0.000, 0.165, 0.000), Te at (0.000, 0.169, 0.377), Te at (0.164, 0.330, 0.895) and Au at (0.166, 0.333, 0.521).

---

A plane-wave DFT calculation with PBE was carried out for an optimized crystal structure of GeTeAu4.

Its crystal system is cubic. The value obtained for the uncorrected formation energy is 0.88 eV per formula unit. For the energy above the most stable polymorph in this dataset, the calculation gives 68 meV per atom. The density of states at the Fermi level is 1.72 states/eV/f.u.

The structure belongs to space group F-43m (No. 216); the cell edges are 7.955, 7.955 and 7.955 Å and the angles 90.00°, 90.00° and 90.00°. Symmetry generates all atoms from Ge at (0.000, 0.000, 0.000), Te at (0.250, 0.250, 0.250) and Au at (0.125, 0.125, 0.625).

---

A plane-wave DFT calculation with PBE was carried out for an optimized crystal structure of Ge2Te3Au.

Its crystal system is monoclinic. The value obtained for the uncorrected formation energy is 0.56 eV per formula unit. The density of states at the Fermi level is 1.94 states/eV/f.u.

The structure belongs to space group C2/m (No. 12); the cell edges are 18.745, 3.948 and 10.897 Å and the angles 90.00°, 115.35° and 90.00°. Symmetry generates all atoms from Ge at (0.067, 0.000, 0.240), Ge at (0.157, 0.500, 0.964), Te at (0.056, 0.500, 0.429), Te at (0.189, 0.500, 0.338), Te at (0.202, 0.000, 0.813) and Au at (0.071, 0.000, 0.985).

---

A plane-wave DFT calculation with PBE was carried out for an optimized crystal structure of Ge2Te3Au4.

Its crystal system is monoclinic. The value obtained for the uncorrected formation energy is 0.30 eV per formula unit. The density of states at the Fermi level is 3.14 states/eV/f.u.

The structure belongs to space group C2/c (No. 15); the cell edges are 11.456, 10.009 and 7.740 Å and the angles 90.00°, 91.56° and 90.00°. Symmetry generates all atoms from Ge at (0.200, 0.152, 0.116), Te at (0.000, 0.073, 0.750), Te at (0.130, 0.381, 0.392), Au at (0.077, 0.331, 0.928) and Au at (0.158, 0.082, 0.440).

---

A plane-wave DFT calculation with PBE was carried out for an optimized crystal structure of GeTe2Au.

Its crystal system is tetragonal. The value obtained for the uncorrected formation energy is 0.19 eV per formula unit. The density of states at the Fermi level is 3.35 states/eV/f.u.

The structure belongs to space group I-42d (No. 122); the cell edges are 6.401, 6.401 and 12.965 Å and the angles 90.00°, 90.00° and 90.00°. Symmetry generates all atoms from Ge at (0.000, 0.000, 0.000), Te at (0.245, 0.250, 0.625) and Au at (0.000, 0.000, 0.500).

---

A plane-wave DFT calculation with PBE was carried out for an optimized crystal structure of GeTe2Au.

Its crystal system is trigonal. The value obtained for the uncorrected formation energy is 0.03 eV per formula unit. The density of states at the Fermi level is 1.19 states/eV/f.u.

The structure belongs to space group P-3m1 (No. 164); the cell edges are 4.1439, 4.1439 and 6.9792 Å and the angles 90.00°, 90.00° and 120.00°. Symmetry generates all atoms from Ge at (0.0000, 0.0000, 0.0000), Te at (0.3333, 0.6667, 0.7414) and Au at (0.0000, 0.0000, 0.5000).

---

A plane-wave DFT calculation with PBE was carried out for an optimized crystal structure of Ge2TeAu2.

Its crystal system is tetragonal. The value obtained for the uncorrected formation energy is 0.73 eV per formula unit. For the energy above the most stable polymorph in this dataset, the calculation gives 80 meV per atom. The density of states at the Fermi level is 2.96 states/eV/f.u.

The structure belongs to space group P4/mbm (No. 127); the cell edges are 7.625, 7.625 and 3.695 Å and the angles 90.00°, 90.00° and 90.00°. Symmetry generates all atoms from Ge at (0.153, 0.347, 0.000), Te at (0.000, 0.000, 0.500) and Au at (0.137, 0.637, 0.500).

---

A plane-wave DFT calculation with PBE was carried out for an optimized crystal structure of Ge2Te2Au.

Its crystal system is tetragonal. The value obtained for the uncorrected formation energy is 1.07 eV per formula unit. For the energy above the most stable polymorph in this dataset, the calculation gives 210 meV per atom. The density of states at the Fermi level is 1.92 states/eV/f.u.

The structure belongs to space group P4/mbm (No. 127); the cell edges are 7.824, 7.824 and 4.054 Å and the angles 90.00°, 90.00° and 90.00°. Symmetry generates all atoms from Ge at (0.157, 0.343, 0.000), Te at (0.169, 0.669, 0.500) and Au at (0.000, 0.000, 0.000).

---

A plane-wave DFT calculation with PBE was carried out for an optimized crystal structure of Ge2TeAu2.

Its crystal system is tetragonal. The value obtained for the uncorrected formation energy is 0.73 eV per formula unit. For the energy above the most stable polymorph in this dataset, the calculation gives 80 meV per atom. The density of states at the Fermi level is 2.42 states/eV/f.u.

The structure belongs to space group P4/mbm (No. 127); the cell edges are 8.406, 8.406 and 3.070 Å and the angles 90.00°, 90.00° and 90.00°. Symmetry generates all atoms from Ge at (0.193, 0.307, 0.000), Te at (0.000, 0.000, 0.000) and Au at (0.116, 0.616, 0.500).

---

A plane-wave DFT calculation with PBE was carried out for an optimized crystal structure of GeTe2Au.

Its crystal system is trigonal. The value obtained for the uncorrected formation energy is 1.43 eV per formula unit. The density of states at the Fermi level is 2.29 states/eV/f.u.

The structure belongs to space group R-3m (No. 166, hexagonal axes); the cell edges are 3.1762, 3.1762 and 34.0604 Å and the angles 90.00°, 90.00° and 120.00°. Symmetry generates all atoms from Ge at (0.0000, 0.0000, 0.0000), Te at (0.0000, 0.0000, 0.0874) and Au at (0.0000, 0.0000, 0.5000).

---

A plane-wave DFT calculation with PBE was carried out for an optimized crystal structure of Ge4Te5Au.

Its crystal system is tetragonal. The value obtained for the uncorrected formation energy is -0.50 eV per formula unit. The density of states at the Fermi level is 2.94 states/eV/f.u.

The structure belongs to space group I4/mmm (No. 139); the cell edges are 4.203, 4.203 and 29.842 Å and the angles 90.00°, 90.00° and 90.00°. Symmetry generates all atoms from Ge at (0.000, 0.000, 0.101), Ge at (0.000, 0.000, 0.302), Te at (0.000, 0.000, 0.000), Te at (0.000, 0.000, 0.200), Te at (0.000, 0.000, 0.401) and Au at (0.000, 0.000, 0.500).

---

A plane-wave DFT calculation with PBE was carried out for an optimized crystal structure of GeTe6Au2.

Its crystal system is monoclinic. The value obtained for the uncorrected formation energy is 0.48 eV per formula unit. The density of states at the Fermi level is 3.36 states/eV/f.u.

The structure belongs to space group C2/c (No. 15); the cell edges are 11.908, 14.753 and 7.346 Å and the angles 90.00°, 116.95° and 90.00°. Symmetry generates all atoms from Ge at (0.000, 0.169, 0.250), Te at (0.095, 0.071, 0.597), Te at (0.095, 0.403, 0.589), Te at (0.184, 0.244, 0.183) and Au at (0.145, 0.427, 0.248).

---

A plane-wave DFT calculation with PBE was carried out for an optimized crystal structure of Ge2Te2Au.

Its crystal system is tetragonal. The value obtained for the uncorrected formation energy is 1.14 eV per formula unit. For the energy above the most stable polymorph in this dataset, the calculation gives 223 meV per atom. The density of states at the Fermi level is 2.98 states/eV/f.u.

The structure belongs to space group P4/mbm (No. 127); the cell edges are 8.025, 8.025 and 3.978 Å and the angles 90.00°, 90.00° and 90.00°. Symmetry generates all atoms from Ge at (0.129, 0.371, 0.000), Te at (0.194, 0.694, 0.500) and Au at (0.000, 0.000, 0.500).